# 1
# SrY2Os, relaxed, DFT GGA-PBEsol
data_SrY2Os
_chemical_formula_sum 'Sr1 Y2 Os1'
_cell_length_a 3.419
_cell_length_b 3.419
_cell_length_c 9.818
_cell_angle_alpha 90.00
_cell_angle_beta 90.06
_cell_angle_gamma 90.00
_symmetry_space_group_name_H-M 'P 1 2/m 1'
_symmetry_Int_Tables_number 10
loop_
_symmetry_equiv_pos_as_xyz
'x,y,z'
'-x,-y,-z'
'-x,y,-z'
'x,-y,z'
loop_
_atom_site_label
_atom_site_fract_x
_atom_site_fract_y
_atom_site_fract_z
_atom_site_occupancy
Sr1 0.000 0.000 0.000 1
Y1 0.500 0.500 0.336 1
Os1 0.000 0.000 0.500 1
# Total magnetization = 0.00 μB per atom
# Energy above the most stable polymorph in this dataset = 0.000 eV per atom
# Density of states at the Fermi level = 0.55 states/eV per atom
# DFT formation energy = -0.0661 eV/atom
# Raw total energy = -6.991 eV per atom

***

# 2
# SrZn2Os, relaxed, DFT GGA-PBEsol
data_SrZn2Os
_chemical_formula_sum 'Sr1 Zn2 Os1'
_cell_length_a 3.355
_cell_length_b 3.355
_cell_length_c 7.015
_cell_angle_alpha 90.00
_cell_angle_beta 90.00
_cell_angle_gamma 90.00
_symmetry_space_group_name_H-M 'P 4 m m'
_symmetry_Int_Tables_number 99
loop_
_symmetry_equiv_pos_as_xyz
'x,y,z'
'-y,x,z'
'-x,-y,z'
'y,-x,z'
'-x,y,z'
'y,x,z'
'x,-y,z'
'-y,-x,z'
loop_
_atom_site_label
_atom_site_fract_x
_atom_site_fract_y
_atom_site_fract_z
_atom_site_occupancy
Sr1 0.000 0.000 0.000 1
Zn1 0.000 0.000 0.566 1
Zn2 0.500 0.500 0.342 1
Os1 0.500 0.500 0.694 1
# Total magnetization = 0.00 μB per atom
# Density of states at the Fermi level = 0.45 states/eV per atom
# DFT formation energy = 0.3298 eV/atom
# Raw total energy = -3.975 eV per atom

***

# 3
# SrZn2Os, relaxed, DFT GGA-PBEsol
data_SrZn2Os
_chemical_formula_sum 'Sr4 Zn8 Os4'
_cell_length_a 6.593
_cell_length_b 6.593
_cell_length_c 6.593
_cell_angle_alpha 90.00
_cell_angle_beta 90.00
_cell_angle_gamma 90.00
_symmetry_space_group_name_H-M 'F m -3 m'
_symmetry_Int_Tables_number 225
_symmetry_space_group_name_Hall '-F 4 2 3'
loop_
_atom_site_label
_atom_site_fract_x
_atom_site_fract_y
_atom_site_fract_z
_atom_site_occupancy
Sr1 0.000 0.000 0.000 1
Zn1 0.250 0.250 0.250 1
Os1 0.000 0.000 0.500 1
# Total magnetization = 0.00 μB per atom
# Density of states at the Fermi level = 0.44 states/eV per atom
# DFT formation energy = 0.4156 eV/atom
# Raw total energy = -3.889 eV per atom

***

# 4
# Sr2ZrOs, relaxed, DFT GGA-PBEsol
data_Sr2ZrOs
_chemical_formula_sum 'Sr2 Zr1 Os1'
_cell_length_a 3.165
_cell_length_b 3.165
_cell_length_c 10.308
_cell_angle_alpha 90.00
_cell_angle_beta 90.00
_cell_angle_gamma 90.00
_symmetry_space_group_name_H-M 'P 4/m m m'
_symmetry_Int_Tables_number 123
_symmetry_space_group_name_Hall '-P 4 2'
loop_
_atom_site_label
_atom_site_fract_x
_atom_site_fract_y
_atom_site_fract_z
_atom_site_occupancy
Sr1 0.000 0.000 0.201 1
Zr1 0.500 0.500 0.500 1
Os1 0.500 0.500 0.000 1
# Total magnetization = 0.22 μB per atom
# Energy above the most stable polymorph in this dataset = 0.254 eV per atom
# Density of states at the Fermi level = 1.70 states/eV per atom
# DFT formation energy = 0.9245 eV/atom
# Raw total energy = -5.322 eV per atom

***

# 5
# Sr2ZrOs, relaxed, DFT GGA-PBEsol
data_Sr2ZrOs
_chemical_formula_sum 'Sr4 Zr2 Os2'
_cell_length_a 4.147
_cell_length_b 4.147
_cell_length_c 10.837
_cell_angle_alpha 90.00
_cell_angle_beta 90.00
_cell_angle_gamma 90.00
_symmetry_space_group_name_H-M 'I 4/m m m'
_symmetry_Int_Tables_number 139
_symmetry_space_group_name_Hall '-I 4 2'
loop_
_atom_site_label
_atom_site_fract_x
_atom_site_fract_y
_atom_site_fract_z
_atom_site_occupancy
Sr1 0.000 0.500 0.250 1
Zr1 0.000 0.000 0.000 1
Os1 0.000 0.000 0.500 1
# Total magnetization = 0.00 μB per atom
# Energy above the most stable polymorph in this dataset = 0.024 eV per atom
# Density of states at the Fermi level = 0.75 states/eV per atom
# DFT formation energy = 0.6942 eV/atom
# Raw total energy = -5.552 eV per atom

***

# 6
# Sr2ZrOs, relaxed, DFT GGA-PBEsol
data_Sr2ZrOs
_chemical_formula_sum 'Sr2 Zr1 Os1'
_cell_length_a 3.130
_cell_length_b 5.187
_cell_length_c 5.894
_cell_angle_alpha 90.00
_cell_angle_beta 90.00
_cell_angle_gamma 90.00
_symmetry_space_group_name_H-M 'P m m m'
_symmetry_Int_Tables_number 47
loop_
_symmetry_equiv_pos_as_xyz
'x,y,z'
'-x,-y,-z'
'-x,-y,z'
'x,y,-z'
'x,-y,-z'
'-x,y,z'
'-x,y,-z'
'x,-y,z'
loop_
_atom_site_label
_atom_site_fract_x
_atom_site_fract_y
_atom_site_fract_z
_atom_site_occupancy
Sr1 0.000 0.000 0.237 1
Zr1 0.500 0.500 0.500 1
Os1 0.500 0.500 0.000 1
# Total magnetization = 0.06 μB per atom
# Energy above the most stable polymorph in this dataset = 0.214 eV per atom
# Density of states at the Fermi level = 1.16 states/eV per atom
# DFT formation energy = 0.8843 eV/atom
# Raw total energy = -5.362 eV per atom

***

# 7
# Sr2ZrOs, relaxed, DFT GGA-PBEsol
data_Sr2ZrOs
_chemical_formula_sum 'Sr8 Zr4 Os4'
_cell_length_a 7.235
_cell_length_b 7.235
_cell_length_c 7.235
_cell_angle_alpha 90.00
_cell_angle_beta 90.00
_cell_angle_gamma 90.00
_symmetry_space_group_name_H-M 'F -4 3 m'
_symmetry_Int_Tables_number 216
_symmetry_space_group_name_Hall 'F -4 2 3'
loop_
_atom_site_label
_atom_site_fract_x
_atom_site_fract_y
_atom_site_fract_z
_atom_site_occupancy
Sr1 0.000 0.000 0.000 1
Sr2 0.250 0.250 0.250 1
Zr1 0.250 0.250 0.750 1
Os1 0.000 0.000 0.500 1
# Total magnetization = 0.00 μB per atom
# Energy above the most stable polymorph in this dataset = 0.000 eV per atom
# Density of states at the Fermi level = 1.13 states/eV per atom
# DFT formation energy = 0.6703 eV/atom
# Raw total energy = -5.576 eV per atom

***

# 8
# Ta6Os7, relaxed, DFT GGA-PBEsol
data_Ta6Os7
_chemical_formula_sum 'Ta18 Os21'
_cell_length_a 5.1382
_cell_length_b 5.1382
_cell_length_c 27.2432
_cell_angle_alpha 90.00
_cell_angle_beta 90.00
_cell_angle_gamma 120.00
_symmetry_space_group_name_H-M 'R -3 m'
_symmetry_Int_Tables_number 166
_symmetry_space_group_name_Hall '-R 3 2"'
loop_
_atom_site_label
_atom_site_fract_x
_atom_site_fract_y
_atom_site_fract_z
_atom_site_occupancy
Ta1 0.0000 0.0000 0.0485 1
Ta2 0.0000 0.0000 0.1524 1
Ta3 0.0000 0.0000 0.3343 1
Os1 0.0000 0.0000 0.5000 1
Os2 0.0040 0.5020 0.9105 1
# Total magnetization = 0.00 μB per atom
# Density of states at the Fermi level = 1.12 states/eV per atom
# DFT formation energy = -0.1589 eV/atom
# Raw total energy = -12.530 eV per atom